Record 1
The following is a DFT calculation (GGA-PBE) of an optimized crystal structure of Pr9TmTl2.

* space-group type: P4/mmm, No. 123

Cell lengths 5.0481, 5.0481, 15.4719 Å; angles 90.00, 90.00, 90.00 degrees
Last column: nearest neighbours and their distance in Å.
Fractional positions:
Pr (0.0000, 0.0000, 0.0000)  4 Tm 3.57, 8 Pr 3.66
Pr (0.0000, 0.0000, 0.3358)  4 Tl 3.57, 8 Pr 3.58
Pr (0.0000, 0.0000, 0.6642)  4 Tl 3.57, 8 Pr 3.58
Pr (0.0000, 0.5000, 0.1713)  8 Pr 3.57-3.66, 2 Tl 3.62, 2 Tm 3.66
Pr (0.0000, 0.5000, 0.5000)  4 Tl 3.55, 8 Pr 3.57-3.58
Pr (0.0000, 0.5000, 0.8287)  8 Pr 3.57-3.66, 2 Tl 3.62, 2 Tm 3.66
Pr (0.5000, 0.0000, 0.1713)  8 Pr 3.57-3.66, 2 Tl 3.62, 2 Tm 3.66
Pr (0.5000, 0.0000, 0.5000)  4 Tl 3.55, 8 Pr 3.57-3.58
Pr (0.5000, 0.0000, 0.8287)  8 Pr 3.57-3.66, 2 Tl 3.62, 2 Tm 3.66
Tm (0.5000, 0.5000, 0.0000)  12 Pr 3.57-3.66
Tl (0.5000, 0.5000, 0.3387)  12 Pr 3.55-3.62
Tl (0.5000, 0.5000, 0.6613)  12 Pr 3.55-3.62

***

Record 2
The following is a DFT calculation (GGA-PBE) of an optimized crystal structure of Pr3Tm4Tl2.

* space-group type: C2/c, No. 15

Cell lengths 7.6577, 7.6577, 9.5879 Å; angles 93.99, 93.99, 95.87 degrees
Last column: nearest neighbours and their distance in Å.
Fractional positions:
Pr (0.0729, 0.9271, 0.7500)  2 Tl 3.22, 2 Pr 3.44, 4 Tm 3.57-3.60
Pr (0.2275, 0.4395, 0.2573)  6 Tm 3.37-3.68, 2 Pr 3.43-3.44, 2 Tl 3.47-3.50
Pr (0.4395, 0.2275, 0.7573)  6 Tm 3.37-3.68, 2 Pr 3.43-3.44, 2 Tl 3.47-3.50
Pr (0.5605, 0.7725, 0.2427)  6 Tm 3.37-3.68, 2 Pr 3.43-3.44, 2 Tl 3.47-3.50
Pr (0.7725, 0.5605, 0.7427)  6 Tm 3.37-3.68, 2 Pr 3.43-3.44, 2 Tl 3.47-3.50
Pr (0.9271, 0.0729, 0.2500)  2 Tl 3.22, 2 Pr 3.44, 4 Tm 3.57-3.60
Tm (0.0642, 0.3293, 0.5845)  3 Tl 3.36-3.56, 3 Tm 3.37-3.68, 5 Pr 3.37-3.67
Tm (0.3196, 0.6144, 0.9195)  2 Tl 3.18-3.26, 2 Tm 3.39-3.46, 1 Pr 3.49
Tm (0.3293, 0.0642, 0.0845)  3 Tl 3.36-3.56, 3 Tm 3.37-3.68, 5 Pr 3.37-3.67
Tm (0.3856, 0.6804, 0.5805)  2 Tl 3.18-3.26, 2 Tm 3.39-3.46, 1 Pr 3.49
Tm (0.6144, 0.3196, 0.4195)  2 Tl 3.18-3.26, 2 Tm 3.39-3.46, 1 Pr 3.49
Tm (0.6707, 0.9358, 0.9155)  3 Tl 3.36-3.56, 3 Tm 3.37-3.68, 5 Pr 3.37-3.67
Tm (0.6804, 0.3856, 0.0805)  2 Tl 3.18-3.26, 2 Tm 3.39-3.46, 1 Pr 3.49
Tm (0.9358, 0.6707, 0.4155)  3 Tl 3.36-3.56, 3 Tm 3.37-3.68, 5 Pr 3.37-3.67
Tl (0.0189, 0.2836, 0.9328)  5 Tm 3.18-3.56, 3 Pr 3.22-3.50, 1 Tl 3.52
Tl (0.2836, 0.0189, 0.4328)  5 Tm 3.18-3.56, 3 Pr 3.22-3.50, 1 Tl 3.52
Tl (0.7164, 0.9811, 0.5672)  5 Tm 3.18-3.56, 3 Pr 3.22-3.50, 1 Tl 3.52
Tl (0.9811, 0.7164, 0.0672)  5 Tm 3.18-3.56, 3 Pr 3.22-3.50, 1 Tl 3.52

***

Record 3
The following is a DFT calculation (GGA-PBE) of an optimized crystal structure of PrTm2Tl9.

* space-group type: P4/mmm, No. 123

Cell lengths 4.7855, 4.7855, 14.3467 Å; angles 90.00, 90.00, 90.00 degrees
Last column: nearest neighbours and their distance in Å.
Fractional positions:
Pr (0.0000, 0.0000, 0.0000)  12 Tl 3.38-3.44
Tm (0.0000, 0.0000, 0.3352)  12 Tl 3.35-3.38
Tm (0.0000, 0.0000, 0.6648)  12 Tl 3.35-3.38
Tl (0.0000, 0.5000, 0.1719)  2 Tm 3.35, 8 Tl 3.35-3.44, 2 Pr 3.44
Tl (0.0000, 0.5000, 0.5000)  8 Tl 3.36-3.38, 4 Tm 3.36
Tl (0.0000, 0.5000, 0.8281)  2 Tm 3.35, 8 Tl 3.35-3.44, 2 Pr 3.44
Tl (0.5000, 0.0000, 0.1719)  2 Tm 3.35, 8 Tl 3.35-3.44, 2 Pr 3.44
Tl (0.5000, 0.0000, 0.5000)  8 Tl 3.36-3.38, 4 Tm 3.36
Tl (0.5000, 0.0000, 0.8281)  2 Tm 3.35, 8 Tl 3.35-3.44, 2 Pr 3.44
Tl (0.5000, 0.5000, 0.0000)  4 Pr 3.38, 8 Tl 3.44
Tl (0.5000, 0.5000, 0.3352)  8 Tl 3.35-3.36, 4 Tm 3.38
Tl (0.5000, 0.5000, 0.6648)  8 Tl 3.35-3.36, 4 Tm 3.38

***

Record 4
The following is a DFT calculation (GGA-PBE) of an optimized crystal structure of PrTm2Tl2.

* space-group type: C2/m, No. 12

Cell lengths 5.2372, 5.2372, 6.8842 Å; angles 112.45, 112.45, 59.95 degrees
Last column: nearest neighbours and their distance in Å.
Fractional positions:
Pr (0.0000, 0.0000, 0.0000)  6 Tl 3.37
Tm (0.2085, 0.2085, 0.6246)  3 Tl 3.13, 3 Tm 3.39-3.40
Tm (0.7915, 0.7915, 0.3754)  3 Tl 3.13, 3 Tm 3.39-3.40
Tl (0.4138, 0.4138, 0.2421)  3 Tm 3.13, 1 Tl 3.19, 3 Pr 3.37
Tl (0.5863, 0.5863, 0.7579)  3 Tm 3.13, 1 Tl 3.19, 3 Pr 3.37

***

Record 5
The following is a DFT calculation (GGA-PBE) of an optimized crystal structure of PrTm2Tl.

* energy relative to the lowest polymorph listed for this composition: 0.000 eV per atom
* space-group type: P4/mmm, No. 123

Cell lengths 3.6380, 3.6380, 9.0773 Å; angles 90.00, 90.00, 90.00 degrees
Last column: nearest neighbours and their distance in Å.
Fractional positions:
Pr (0.0000, 0.0000, 0.0000)  8 Tm 3.60, 4 Pr 3.64
Tm (0.5000, 0.5000, 0.2778)  4 Tl 3.27, 4 Pr 3.60, 4 Tm 3.64
Tm (0.5000, 0.5000, 0.7222)  4 Tl 3.27, 4 Pr 3.60, 4 Tm 3.64
Tl (0.0000, 0.0000, 0.5000)  8 Tm 3.27, 4 Tl 3.64

***

Record 6
The following is a DFT calculation (GGA-PBE) of an optimized crystal structure of PrTm5Tl6.

* energy relative to the lowest polymorph listed for this composition: 0.000 eV per atom
* space-group type: Immm, No. 71

Cell lengths 9.3072, 9.3072, 9.3072 Å; angles 146.31, 132.71, 59.31 degrees
Last column: nearest neighbours and their distance in Å.
Fractional positions:
Pr (0.0000, 0.0000, 0.0000)  8 Tl 3.33-3.36
Tm (0.1628, 0.6628, 0.5000)  8 Tl 3.25-3.31
Tm (0.3328, 0.3328, 0.0000)  8 Tl 3.24-3.25
Tm (0.5000, 0.0000, 0.5000)  8 Tl 3.23-3.31
Tm (0.6672, 0.6672, 0.0000)  8 Tl 3.24-3.25
Tm (0.8372, 0.3372, 0.5000)  8 Tl 3.25-3.31
Tl (0.0854, 0.8292, 0.2561)  7 Tm 3.24-3.31, 1 Pr 3.36
Tl (0.2622, 0.5000, 0.7622)  6 Tm 3.23-3.28, 2 Pr 3.33, 1 Tl 3.55
Tl (0.4269, 0.1708, 0.2561)  7 Tm 3.24-3.31, 1 Pr 3.36
Tl (0.5731, 0.8292, 0.7439)  7 Tm 3.24-3.31, 1 Pr 3.36
Tl (0.7378, 0.5000, 0.2378)  6 Tm 3.23-3.28, 2 Pr 3.33, 1 Tl 3.55
Tl (0.9146, 0.1708, 0.7439)  7 Tm 3.24-3.31, 1 Pr 3.36

***

Record 7
The following is a DFT calculation (GGA-PBE) of an optimized crystal structure of PrTm5Tl5.

* space-group type: C2/m, No. 12

Cell lengths 8.3935, 8.3935, 7.1989 Å; angles 98.42, 98.42, 41.72 degrees
Last column: nearest neighbours and their distance in Å.
Fractional positions:
Pr (0.0000, 0.0000, 0.0000)  4 Tl 2.99-3.24
Tm (0.0000, 0.0000, 0.5000)  4 Tl 3.05-3.25
Tm (0.3218, 0.3218, 0.0902)  5 Tl 2.97-3.22
Tm (0.3719, 0.3719, 0.5966)  5 Tl 3.18-3.45
Tm (0.6281, 0.6281, 0.4034)  5 Tl 3.18-3.45
Tm (0.6782, 0.6782, 0.9098)  5 Tl 2.97-3.22
Tl (0.1741, 0.1741, 0.3075)  4 Tm 2.99-3.25, 1 Tl 3.12, 1 Pr 3.24
Tl (0.1778, 0.1778, 0.7421)  5 Tm 3.05-3.37, 1 Tl 3.12
Tl (0.5000, 0.5000, 0.0000)  4 Tm 2.97-3.26, 2 Pr 2.99
Tl (0.8222, 0.8222, 0.2579)  5 Tm 3.05-3.37, 1 Tl 3.12
Tl (0.8259, 0.8259, 0.6925)  4 Tm 2.99-3.25, 1 Tl 3.12, 1 Pr 3.24

***

Record 8
The following is a DFT calculation (GGA-PBE) of an optimized crystal structure of Pr5TmTl3.

* space-group type: P6_3/mcm, No. 193

Cell lengths 9.6611, 9.6611, 6.9458 Å; angles 90.00, 90.00, 120.00 degrees
Last column: nearest neighbours and their distance in Å.
Fractional positions:
Pr (0.0000, 0.3388, 0.2500)  5 Tl 3.20-3.48
Pr (0.0000, 0.6612, 0.7500)  5 Tl 3.20-3.48
Pr (0.3333, 0.6667, 0.0000)  8 Pr 3.47-3.64, 6 Tl 3.70
Pr (0.3333, 0.6667, 0.5000)  8 Pr 3.47-3.64, 6 Tl 3.70
Pr (0.3388, 0.0000, 0.2500)  5 Tl 3.20-3.48
Pr (0.3388, 0.3388, 0.7500)  5 Tl 3.20-3.48
Pr (0.6612, 0.0000, 0.7500)  5 Tl 3.20-3.48
Pr (0.6612, 0.6612, 0.2500)  5 Tl 3.20-3.48
Pr (0.6667, 0.3333, 0.0000)  8 Pr 3.47-3.64, 6 Tl 3.70
Pr (0.6667, 0.3333, 0.5000)  8 Pr 3.47-3.64, 6 Tl 3.70
Tm (0.0000, 0.0000, 0.0000)  2 Tm 3.47, 6 Tl 3.57, 6 Pr 3.71
Tm (0.0000, 0.0000, 0.5000)  2 Tm 3.47, 6 Tl 3.57, 6 Pr 3.71
Tl (0.0000, 0.3230, 0.7500)  5 Pr 3.20-3.48, 2 Tm 3.57
Tl (0.0000, 0.6770, 0.2500)  5 Pr 3.20-3.48, 2 Tm 3.57
Tl (0.3230, 0.0000, 0.7500)  5 Pr 3.20-3.48, 2 Tm 3.57
Tl (0.3230, 0.3230, 0.2500)  5 Pr 3.20-3.48, 2 Tm 3.57
Tl (0.6770, 0.0000, 0.2500)  5 Pr 3.20-3.48, 2 Tm 3.57
Tl (0.6770, 0.6770, 0.7500)  5 Pr 3.20-3.48, 2 Tm 3.57

***

Record order is preserved below.
Formation enthalpy at 0 K: -0.13, -0.04, -0.23, -0.26, -0.17, -0.31, -0.06, -0.26 eV per atom